Entry from the Alexandria database: an optimized crystal structure of Y12Ho5Er2 (PBE-GGA).

Cell: 9.284 9.049 8.571 Å, 91.26 90.00 120.86°
Fractional coordinates of all 19 atoms:
Er 0.673 0.000 0.000
Ho 0.299 0.597 0.983
Y 0.029 0.697 0.762
Y 0.821 0.256 0.665
Y 0.558 0.116 0.333
Er 0.327 0.000 0.000
Ho 0.231 0.461 0.572
Ho 0.769 0.539 0.428
Y 0.332 0.303 0.238
Y 0.082 0.163 0.877
Y 0.918 0.837 0.123
Y 0.436 0.256 0.665
Y 0.971 0.303 0.238
Y 0.442 0.884 0.667
Ho 0.701 0.403 0.017
Y 0.564 0.744 0.335
Ho 0.000 0.000 0.500
Y 0.668 0.697 0.762
Y 0.179 0.744 0.335

Calculated values
Energy of formation in eV/atom: 0.125
Distance to the lowest polymorph of the same formula in eV per formula unit: 1.94
Final energy in eV per atom: -5.64
Density in g cm⁻³: 5.98
Symmetry: No. 12